# 1
ScCuC | PBE | optimized geometry

The electronic total energy comes out at -6.18 eV/atom. As for the formation energy: 0.38 eV/atom.

Unit cell a=3.147 b=3.147 c=16.395 alpha=90.00 beta=90.00 gamma=90.00
Space group I4/mmm (No. 139)
One atom of each set of equivalent atoms:
1 Sc 0.000 0.000 0.098
2 Cu 0.000 0.000 0.282
3 C 0.000 0.500 0.000

# 2
Pr7Tm12Sc | PBE | optimized geometry

The electronic total energy comes out at -4.44 eV/atom. The calculation puts the polymorph energy (0 for the lowest one) at 0.000 eV/atom. As for the formation energy: 0.23 eV/atom.

Unit cell a=11.8747 b=11.8747 c=16.2030 alpha=90.00 beta=90.00 gamma=120.00
Space group R-3 (No. 148, hexagonal axes)
One atom of each set of equivalent atoms:
1 Pr 0.0000 0.0000 0.0000
2 Pr 0.0575 0.8719 0.2871
3 Tm 0.0337 0.5792 0.2215
4 Tm 0.0543 0.4698 0.5834
5 Sc 0.0000 0.0000 0.5000

# 3
NaFeSn2 | PBE | optimized geometry

The electronic total energy comes out at -4.14 eV/atom. As for the formation energy: 0.30 eV/atom.

Unit cell a=6.663 b=6.663 c=6.663 alpha=90.00 beta=90.00 gamma=90.00
Space group Fm-3m (No. 225)
One atom of each set of equivalent atoms:
1 Na 0.000 0.000 0.000
2 Fe 0.000 0.000 0.500
3 Sn 0.250 0.250 0.250

# 4
CeSi3Rh | PBE | optimized geometry

The value obtained for the uncorrected formation energy is -4.11 eV/f.u. The electronic total energy comes out at -6.73 eV/atom.

Unit cell a=4.227 b=4.227 c=9.740 alpha=90.00 beta=90.00 gamma=90.00
Space group I4mm (No. 107)
One atom of each set of equivalent atoms:
1 Ce 0.000 0.000 0.000
2 Si 0.000 0.000 0.415
3 Si 0.000 0.500 0.267
4 Rh 0.000 0.000 0.658

| no. | volume (Å³ per atom) | size of the total moment (μB per cell) |
| --- | --- | --- |
| 1 | 13.5 | 0.0 |
| 2 | 33.0 | 0.0 |
| 3 | 18.5 | 2.8 |
| 4 | 17.4 | 0.5 |